# 1
VASP calculation (PBEsol) on MnPt2 after structural relaxation.

Results
- Total magnetic moment: 4.2 μB per formula unit
- Calculated total energy: -0.6004 Ry per atom
- Calculated volume: 14.4 Å³ per atom
- Space group: I4_1/amd
- Energy relative to the elements: -0.27 eV/atom

```
MnPt2
1.0
-1.920 1.920 11.746
1.920 -1.920 11.746
1.920 1.920 -11.746
Mn Pt
4 8
direct
0.294 0.544 0.750
0.456 0.706 0.750
0.544 0.294 0.250
0.706 0.456 0.250
0.041 0.791 0.250
0.124 0.374 0.750
0.209 0.959 0.250
0.374 0.124 0.250
0.626 0.876 0.750
0.791 0.041 0.750
0.876 0.626 0.250
0.959 0.209 0.750
```


# 2
VASP calculation (PBEsol) on Mn3Pt after structural relaxation.

Results
- Total magnetic moment: 1.7 μB per formula unit
- Calculated total energy: -0.6672 Ry per atom
- Calculated volume: 11.5 Å³ per atom
- Space group: Pm-3m
- Energy relative to the elements: -0.02 eV/atom

```
Mn3Pt
1.0
3.588 0.000 0.000
0.000 3.588 0.000
0.000 0.000 3.588
Mn Pt
3 1
direct
0.000 0.000 0.500
0.000 0.500 0.000
0.500 0.000 0.000
0.500 0.500 0.500
```


# 3
VASP calculation (PBEsol) on Mn5Pt after structural relaxation.

Results
- Total magnetic moment: 0.0 μB per formula unit
- Calculated total energy: -0.6836 Ry per atom
- Calculated volume: 11.1 Å³ per atom
- Space group: Amm2
- Energy relative to the elements: -0.01 eV/atom

```
Mn5Pt
1.0
4.000 0.000 0.000
0.000 1.270 6.562
0.000 -1.270 6.562
Mn Pt
5 1
direct
0.000 0.000 0.000
0.000 0.316 0.316
0.000 0.658 0.658
0.500 0.107 0.107
0.500 0.762 0.762
0.500 0.435 0.435
```


# 4
VASP calculation (PBEsol) on MnPt after structural relaxation.

Results
- Total magnetic moment: 4.3 μB per formula unit
- Calculated total energy: -0.6294 Ry per atom
- Calculated volume: 14.4 Å³ per atom
- Space group: P4/mmm
- Energy relative to the elements: -0.20 eV/atom

```
MnPt
1.0
2.887 0.000 0.000
0.000 2.887 0.000
0.000 0.000 3.457
Mn Pt
1 1
direct
0.000 0.000 0.000
0.500 0.500 0.500
```


# 5
VASP calculation (PBEsol) on MnPt2 after structural relaxation.

Results
- Total magnetic moment: 4.3 μB per formula unit
- Calculated total energy: -0.5781 Ry per atom
- Calculated volume: 15.2 Å³ per atom
- Space group: P6/mmm
- Energy relative to the elements: 0.03 eV/atom

```
MnPt2
1.0
4.400 0.000 0.000
-2.200 3.811 0.000
0.000 0.000 2.722
Mn Pt
1 2
direct
0.000 0.000 0.000
0.333 0.667 0.500
0.667 0.333 0.500
```


# 6
VASP calculation (PBEsol) on MnPt3 after structural relaxation.

Results
- Total magnetic moment: 3.6 μB per formula unit
- Calculated total energy: -0.5762 Ry per atom
- Calculated volume: 14.5 Å³ per atom
- Space group: Pmmm
- Energy relative to the elements: -0.18 eV/atom

```
MnPt3
1.0
2.759 0.000 0.000
0.000 3.801 0.000
0.000 0.000 5.531
Mn Pt
1 3
direct
0.000 0.000 0.000
0.000 0.000 0.500
0.500 0.500 0.243
0.500 0.500 0.757
```


# 7
VASP calculation (PBEsol) on Mn3Pt after structural relaxation.

Results
- Total magnetic moment: 2.1 μB per formula unit
- Calculated total energy: -0.6667 Ry per atom
- Calculated volume: 12.0 Å³ per atom
- Space group: P4/mmm
- Energy relative to the elements: -0.01 eV/atom

```
Mn3Pt
1.0
2.600 0.000 0.000
0.000 2.600 0.000
0.000 0.000 7.098
Mn Pt
3 1
direct
0.000 0.000 0.000
0.500 0.500 0.230
0.500 0.500 0.770
0.000 0.000 0.500
```


# 8
VASP calculation (PBEsol) on MnPt2 after structural relaxation.

Results
- Total magnetic moment: 4.4 μB per formula unit
- Calculated total energy: -0.5743 Ry per atom
- Calculated volume: 16.3 Å³ per atom
- Space group: Fd-3m
- Energy relative to the elements: 0.08 eV/atom

```
MnPt2
1.0
0.000 3.657 3.657
3.657 0.000 3.657
3.657 3.657 0.000
Mn Pt
2 4
direct
0.125 0.125 0.125
0.875 0.875 0.875
0.000 0.500 0.500
0.500 0.000 0.500
0.500 0.500 0.000
0.500 0.500 0.500
```


# 9
VASP calculation (PBEsol) on MnPt3 after structural relaxation.

Results
- Total magnetic moment: 3.7 μB per formula unit
- Calculated total energy: -0.5741 Ry per atom
- Calculated volume: 14.4 Å³ per atom
- Space group: P4/mmm
- Energy relative to the elements: -0.15 eV/atom

```
MnPt3
1.0
2.755 0.000 0.000
0.000 2.755 0.000
0.000 0.000 7.612
Mn Pt
1 3
direct
0.000 0.000 0.000
0.000 0.000 0.500
0.500 0.500 0.234
0.500 0.500 0.766
```


# 10
VASP calculation (PBEsol) on MnPt5 after structural relaxation.

Results
- Total magnetic moment: 4.1 μB per formula unit
- Calculated total energy: -0.5543 Ry per atom
- Calculated volume: 14.7 Å³ per atom
- Space group: P-62m
- Energy relative to the elements: -0.11 eV/atom

```
MnPt5
1.0
4.747 0.000 0.000
-2.373 4.111 0.000
0.000 0.000 4.529
Mn Pt
1 5
direct
0.000 0.000 0.000
0.000 0.666 0.500
0.333 0.667 0.000
0.334 0.334 0.500
0.666 0.000 0.500
0.667 0.333 0.000
```


# 11
VASP calculation (PBEsol) on Mn5Pt after structural relaxation.

Results
- Total magnetic moment: 0.9 μB per formula unit
- Calculated total energy: -0.6867 Ry per atom
- Calculated volume: 11.7 Å³ per atom
- Space group: Cmmm
- Energy relative to the elements: -0.05 eV/atom

```
Mn5Pt
1.0
1.811 -5.445 0.000
1.811 5.445 0.000
0.000 0.000 3.568
Mn Pt
5 1
direct
0.000 0.000 0.000
0.168 0.832 0.500
0.329 0.671 0.000
0.671 0.329 0.000
0.832 0.168 0.500
0.500 0.500 0.500
```


# 12
VASP calculation (PBEsol) on MnPt3 after structural relaxation.

Results
- Total magnetic moment: 4.7 μB per formula unit
- Calculated total energy: -0.5773 Ry per atom
- Calculated volume: 14.7 Å³ per atom
- Space group: Cmmm
- Energy relative to the elements: -0.19 eV/atom

```
MnPt3
1.0
2.734 -3.835 0.000
2.734 3.835 0.000
0.000 0.000 2.796
Mn Pt
1 3
direct
0.000 0.000 0.000
0.000 0.500 0.500
0.500 0.000 0.500
0.500 0.500 0.000
```


# 13
VASP calculation (PBEsol) on MnPt3 after structural relaxation.

Results
- Total magnetic moment: 4.2 μB per formula unit
- Calculated total energy: -0.5661 Ry per atom
- Calculated volume: 14.7 Å³ per atom
- Space group: P-6m2
- Energy relative to the elements: -0.04 eV/atom

```
MnPt3
1.0
2.752 0.000 0.000
-1.376 2.383 0.000
0.000 0.000 8.950
Mn Pt
1 3
direct
0.000 0.000 0.000
0.000 0.000 0.500
0.667 0.333 0.234
0.667 0.333 0.766
```


# 14
VASP calculation (PBEsol) on Mn3Pt after structural relaxation.

Results
- Total magnetic moment: 0.0 μB per formula unit
- Calculated total energy: -0.6747 Ry per atom
- Calculated volume: 11.4 Å³ per atom
- Space group: Pmmn
- Energy relative to the elements: -0.12 eV/atom

```
Mn3Pt
1.0
4.003 0.000 0.000
0.000 5.117 0.000
0.000 0.000 4.467
Mn Pt
6 2
direct
0.250 0.009 0.154
0.250 0.491 0.154
0.250 0.750 0.700
0.750 0.250 0.300
0.750 0.509 0.846
0.750 0.991 0.846
0.250 0.250 0.660
0.750 0.750 0.340
```


# 15
VASP calculation (PBEsol) on MnPt2 after structural relaxation.

Results
- Total magnetic moment: 3.9 μB per formula unit
- Calculated total energy: -0.5977 Ry per atom
- Calculated volume: 14.4 Å³ per atom
- Space group: Cmcm
- Energy relative to the elements: -0.24 eV/atom

```
MnPt2
1.0
1.879 -5.862 0.000
1.879 5.862 0.000
0.000 0.000 3.919
Mn Pt
2 4
direct
0.089 0.911 0.750
0.911 0.089 0.250
0.254 0.746 0.250
0.421 0.579 0.750
0.579 0.421 0.250
0.746 0.254 0.750
```


# 16
VASP calculation (PBEsol) on MnPt5 after structural relaxation.

Results
- Total magnetic moment: 4.5 μB per formula unit
- Calculated total energy: -0.5531 Ry per atom
- Calculated volume: 14.8 Å³ per atom
- Space group: Amm2
- Energy relative to the elements: -0.10 eV/atom

```
MnPt5
1.0
4.566 0.000 0.000
0.000 1.380 7.032
0.000 -1.380 7.032
Mn Pt
1 5
direct
0.000 0.000 0.000
0.000 0.340 0.340
0.000 0.663 0.663
0.500 0.216 0.216
0.500 0.549 0.549
0.500 0.883 0.883
```


# 17
VASP calculation (PBEsol) on MnPt3 after structural relaxation.

Results
- Total magnetic moment: 4.2 μB per formula unit
- Calculated total energy: -0.5798 Ry per atom
- Calculated volume: 14.5 Å³ per atom
- Space group: P6_3/mmc
- Energy relative to the elements: -0.23 eV/atom

```
MnPt3
1.0
5.455 0.000 0.000
-2.727 4.724 0.000
0.000 0.000 4.506
Mn Pt
2 6
direct
0.333 0.667 0.250
0.667 0.333 0.750
0.167 0.334 0.750
0.167 0.833 0.750
0.334 0.167 0.250
0.666 0.833 0.750
0.833 0.167 0.250
0.833 0.666 0.250
```


# 18
VASP calculation (PBEsol) on MnPt5 after structural relaxation.

Results
- Total magnetic moment: 3.4 μB per formula unit
- Calculated total energy: -0.5533 Ry per atom
- Calculated volume: 14.6 Å³ per atom
- Space group: P4/mmm
- Energy relative to the elements: -0.10 eV/atom

```
MnPt5
1.0
2.756 0.000 0.000
0.000 2.756 0.000
0.000 0.000 11.566
Mn Pt
1 5
direct
0.000 0.000 0.000
0.000 0.000 0.330
0.000 0.000 0.670
0.500 0.500 0.155
0.500 0.500 0.500
0.500 0.500 0.845
```


# 19
VASP calculation (PBEsol) on MnPt3 after structural relaxation.

Results
- Total magnetic moment: 4.2 μB per formula unit
- Calculated total energy: -0.5852 Ry per atom
- Calculated volume: 14.5 Å³ per atom
- Space group: Pm-3m
- Energy relative to the elements: -0.30 eV/atom

```
MnPt3
1.0
3.868 0.000 0.000
0.000 3.868 0.000
0.000 0.000 3.868
Mn Pt
1 3
direct
0.000 0.000 0.000
0.000 0.500 0.500
0.500 0.000 0.500
0.500 0.500 0.000
```


# 20
VASP calculation (PBEsol) on MnPt after structural relaxation.

Results
- Total magnetic moment: 3.8 μB per formula unit
- Calculated total energy: -0.6251 Ry per atom
- Calculated volume: 14.1 Å³ per atom
- Space group: I4_1/amd
- Energy relative to the elements: -0.14 eV/atom

```
MnPt
1.0
-1.867 1.867 4.055
1.867 -1.867 4.055
1.867 1.867 -4.055
Mn Pt
2 2
direct
0.375 0.625 0.750
0.625 0.375 0.250
0.125 0.875 0.250
0.875 0.125 0.750
```


# 21
VASP calculation (PBEsol) on Mn2RePt after structural relaxation.

Results
- Total magnetic moment: 2.4 μB per formula unit
- Calculated total energy: -0.7314 Ry per atom
- Calculated volume: 12.8 Å³ per atom
- Space group: Cmmm
- Energy relative to the elements: 0.00 eV/atom

```
Mn2RePt
1.0
2.662 -3.646 0.000
2.662 3.646 0.000
0.000 0.000 2.635
Mn Re Pt
2 1 1
direct
0.000 0.500 0.000
0.500 0.000 0.000
0.000 0.000 0.500
0.500 0.500 0.500
```


# 22
VASP calculation (PBEsol) on Mn2RePt after structural relaxation.

Results
- Total magnetic moment: 2.4 μB per formula unit
- Calculated total energy: -0.7272 Ry per atom
- Calculated volume: 12.9 Å³ per atom
- Space group: C2/m
- Energy relative to the elements: 0.06 eV/atom

```
Mn2RePt
1.0
4.283 -1.313 0.000
4.283 1.313 0.000
-0.774 0.000 4.589
Mn Re Pt
2 1 1
direct
0.250 0.250 0.238
0.750 0.750 0.762
0.500 0.500 0.000
0.000 0.000 0.500
```


# 23
VASP calculation (PBEsol) on Mn2PtRh after structural relaxation.

Results
- Total magnetic moment: 1.0 μB per formula unit
- Calculated total energy: -0.6386 Ry per atom
- Calculated volume: 12.6 Å³ per atom
- Space group: P4mm
- Energy relative to the elements: -0.03 eV/atom

```
Mn2PtRh
1.0
2.624 0.000 0.000
0.000 2.624 0.000
0.000 0.000 7.323
Mn Pt Rh
2 1 1
direct
0.000 0.000 0.000
0.500 0.500 0.226
0.000 0.000 0.481
0.500 0.500 0.765
```


# 24
VASP calculation (PBEsol) on MnPtRh2 after structural relaxation.

Results
- Total magnetic moment: 3.0 μB per formula unit
- Calculated total energy: -0.5974 Ry per atom
- Calculated volume: 14.0 Å³ per atom
- Space group: Fm-3m
- Energy relative to the elements: 0.12 eV/atom

```
MnPtRh2
1.0
0.000 3.035 3.035
3.035 0.000 3.035
3.035 3.035 0.000
Mn Pt Rh
1 1 2
direct
0.000 0.000 0.000
0.500 0.500 0.500
0.250 0.250 0.250
0.750 0.750 0.750
```


# 25
VASP calculation (PBEsol) on Mn2PtRh after structural relaxation.

Results
- Total magnetic moment: 0.4 μB per formula unit
- Calculated total energy: -0.6437 Ry per atom
- Calculated volume: 13.3 Å³ per atom
- Space group: Pmm2
- Energy relative to the elements: -0.10 eV/atom

```
Mn2PtRh
1.0
2.712 0.000 0.000
0.000 3.673 0.000
0.000 0.000 5.350
Mn Pt Rh
2 1 1
direct
0.000 0.000 0.000
0.500 0.500 0.249
0.000 0.000 0.495
0.500 0.500 0.774
```


# 26
VASP calculation (PBEsol) on Mn2PtRh after structural relaxation.

Results
- Total magnetic moment: 9.0 μB per formula unit
- Calculated total energy: -0.6457 Ry per atom
- Calculated volume: 13.9 Å³ per atom
- Space group: Fm-3m
- Energy relative to the elements: -0.13 eV/atom

```
Mn2PtRh
1.0
0.000 3.032 3.032
3.032 0.000 3.032
3.032 3.032 0.000
Mn Pt Rh
2 1 1
direct
0.250 0.250 0.250
0.750 0.750 0.750
0.000 0.000 0.000
0.500 0.500 0.500
```


# 27
VASP calculation (PBEsol) on MnPt2Rh2 after structural relaxation.

Results
- Total magnetic moment: 3.5 μB per formula unit
- Calculated total energy: -0.5563 Ry per atom
- Calculated volume: 16.2 Å³ per atom
- Space group: I4/mmm
- Energy relative to the elements: 0.42 eV/atom

```
MnPt2Rh2
1.0
-1.820 1.820 6.097
1.820 -1.820 6.097
1.820 1.820 -6.097
Mn Pt Rh
1 2 2
direct
0.000 0.000 0.000
0.250 0.750 0.500
0.750 0.250 0.500
0.404 0.404 0.000
0.596 0.596 0.000
```


# 28
VASP calculation (PBEsol) on MnRuPt4 after structural relaxation.

Results
- Total magnetic moment: 6.9 μB per formula unit
- Calculated total energy: -0.5576 Ry per atom
- Calculated volume: 16.0 Å³ per atom
- Space group: F-43m
- Energy relative to the elements: 0.38 eV/atom

```
MnRuPt4
1.0
0.000 3.633 3.633
3.633 0.000 3.633
3.633 3.633 0.000
Mn Ru Pt
1 1 4
direct
0.000 0.000 0.000
0.250 0.250 0.250
0.125 0.625 0.625
0.625 0.125 0.625
0.625 0.625 0.125
0.625 0.625 0.625
```


# 29
VASP calculation (PBEsol) on MnRuPt2 after structural relaxation.

Results
- Total magnetic moment: 2.2 μB per formula unit
- Calculated total energy: -0.6252 Ry per atom
- Calculated volume: 13.9 Å³ per atom
- Space group: Pmm2
- Energy relative to the elements: -0.04 eV/atom

```
MnRuPt2
1.0
2.710 0.000 0.000
0.000 3.744 0.000
0.000 0.000 5.463
Mn Ru Pt
1 1 2
direct
0.000 0.000 0.000
0.500 0.500 0.768
0.000 0.000 0.521
0.500 0.500 0.248
```